A plane-wave DFT calculation with PBE was carried out for a geometry-optimized CoRh structure.

Cell lengths 2.646, 2.646, 12.655 Å; angles 90.00, 90.00, 120.00 degrees
Fractional positions:
Co 0.000 0.000 0.000
Co 0.333 0.667 0.846
Co 0.667 0.333 0.154
Rh 0.000 0.000 0.500
Rh 0.333 0.667 0.321
Rh 0.667 0.333 0.679

Properties
- calculated volume (Å³ per atom) = 12.793
- crystal system = trigonal
- formation enthalpy at 0 K (kJ per mole of atoms) = 6.8
- SG = P-3m1, No. 164

***

A plane-wave DFT calculation with PBE was carried out for a geometry-optimized CuTcH2 structure.

Cell lengths 3.586, 3.586, 3.586 Å; angles 60.00, 60.00, 60.00 degrees
Fractional positions:
Cu 0.000 0.000 0.000
Tc 0.500 0.500 0.500
H 0.250 0.250 0.250
H 0.750 0.750 0.750

Properties
- calculated volume (Å³ per atom) = 8.152
- crystal system = cubic
- SG = Fm-3m, No. 225
- polymorph energy (0 for the lowest one) (meV per atom) = 404

***

A plane-wave DFT calculation with PBE was carried out for a geometry-optimized Ni2HgBi structure.

Cell lengths 4.614, 4.614, 4.614 Å; angles 60.00, 60.00, 60.00 degrees
Fractional positions:
Ni 0.250 0.250 0.250
Ni 0.750 0.750 0.750
Hg 0.000 0.000 0.000
Bi 0.500 0.500 0.500

Properties
- calculated volume (Å³ per atom) = 17.367
- crystal system = cubic
- formation enthalpy at 0 K (kJ per mole of atoms) = 24.8
- SG = Fm-3m, No. 225
- polymorph energy (0 for the lowest one) (meV per atom) = 0

***

A plane-wave DFT calculation with PBE was carried out for a geometry-optimized Pm2Nd3SmDy6 structure.

Cell lengths 6.252, 6.252, 11.856 Å; angles 95.03, 95.03, 119.99 degrees
Fractional positions:
Pm 0.167 0.833 0.000
Pm 0.833 0.167 0.000
Nd 0.000 0.000 0.500
Nd 0.333 0.667 0.500
Nd 0.667 0.333 0.500
Sm 0.500 0.500 0.000
Dy 0.084 0.417 0.751
Dy 0.250 0.250 0.249
Dy 0.417 0.084 0.751
Dy 0.583 0.916 0.249
Dy 0.750 0.750 0.751
Dy 0.916 0.583 0.249

Properties
- calculated volume (Å³ per atom) = 32.927
- crystal system = monoclinic
- formation enthalpy at 0 K (kJ per mole of atoms) = 1.2
- SG = C2/m, No. 12

***

A plane-wave DFT calculation with PBE was carried out for a geometry-optimized YNbFe2Br structure.

Cell lengths 4.935, 4.935, 5.201 Å; angles 90.00, 90.00, 90.00 degrees
Fractional positions:
Y 0.000 0.000 0.000
Nb 0.000 0.000 0.500
Fe 0.000 0.500 0.000
Fe 0.500 0.000 0.000
Br 0.500 0.500 0.500

Properties
- uncorrected energy (eV per atom) = -5.11
- calculated volume (Å³ per atom) = 25.331
- crystal system = tetragonal
- SG = P4/mmm, No. 123

***

A plane-wave DFT calculation with PBE was carried out for a geometry-optimized Nd8Hg2Ru structure.

Cell lengths 8.997, 8.997, 8.997 Å; angles 147.80, 120.80, 69.01 degrees
Fractional positions:
Nd 0.114 0.345 0.769
Nd 0.117 0.117 0.000
Nd 0.335 0.000 0.335
Nd 0.424 0.655 0.769
Nd 0.576 0.345 0.231
Nd 0.665 0.000 0.665
Nd 0.883 0.883 0.000
Nd 0.886 0.655 0.231
Hg 0.299 0.799 0.500
Hg 0.701 0.201 0.500
Ru 0.000 0.500 0.500

Properties
- calculated volume (Å³ per atom) = 29.888
- crystal system = orthorhombic
- formation enthalpy at 0 K (kJ per mole of atoms) = -9.7
- SG = Immm, No. 71
- polymorph energy (0 for the lowest one) (meV per atom) = 104

***

A plane-wave DFT calculation with PBE was carried out for a geometry-optimized HfTcN2O structure.

Cell lengths 4.225, 4.225, 3.968 Å; angles 90.00, 90.00, 90.00 degrees
Fractional positions:
Hf 0.000 0.000 0.000
Tc 0.500 0.500 0.500
N 0.000 0.500 0.000
N 0.500 0.000 0.000
O 0.000 0.000 0.500

Properties
- uncorrected energy (eV per atom) = -8.26
- calculated volume (Å³ per atom) = 14.164
- crystal system = tetragonal
- SG = P4/mmm, No. 123

***

A plane-wave DFT calculation with PBE was carried out for a geometry-optimized Rb2SmI5 structure.

Cell lengths 14.916, 10.015, 9.548 Å; angles 90.00, 90.00, 90.00 degrees
Fractional positions:
Rb 0.170 0.009 0.083
Rb 0.170 0.491 0.083
Rb 0.330 0.509 0.583
Rb 0.330 0.991 0.583
Rb 0.670 0.009 0.417
Rb 0.670 0.491 0.417
Rb 0.830 0.509 0.917
Rb 0.830 0.991 0.917
Sm 0.006 0.250 0.576
Sm 0.494 0.750 0.076
Sm 0.506 0.250 0.924
Sm 0.994 0.750 0.424
I 0.012 0.250 0.912
I 0.062 0.548 0.669
I 0.062 0.952 0.669
I 0.186 0.250 0.403
I 0.199 0.750 0.360
I 0.301 0.250 0.860
I 0.314 0.750 0.903
I 0.438 0.048 0.169
I 0.438 0.452 0.169
I 0.488 0.750 0.412
I 0.512 0.250 0.588
I 0.562 0.548 0.831
I 0.562 0.952 0.831
I 0.686 0.250 0.097
I 0.699 0.750 0.140
I 0.801 0.250 0.640
I 0.814 0.750 0.597
I 0.938 0.048 0.331
I 0.938 0.452 0.331
I 0.988 0.750 0.088

Properties
- calculated volume (Å³ per atom) = 44.572
- crystal system = orthorhombic
- SG = Pnma, No. 62
- polymorph energy (0 for the lowest one) (meV per atom) = 0

***

A plane-wave DFT calculation with PBE was carried out for a geometry-optimized Sr2IrBr structure.

Cell lengths 6.602, 6.602, 6.602 Å; angles 141.48, 141.48, 55.61 degrees
Fractional positions:
Sr 0.000 0.000 0.000
Sr 0.750 0.250 0.500
Ir 0.500 0.500 0.000
Br 0.250 0.750 0.500

Properties
- calculated volume (Å³ per atom) = 27.687
- crystal system = tetragonal
- SG = I-4m2, No. 119
- polymorph energy (0 for the lowest one) (meV per atom) = 407

***

A plane-wave DFT calculation with PBE was carried out for a geometry-optimized Pa2CoC structure.

Cell lengths 5.412, 3.483, 7.259 Å; angles 90.00, 109.14, 90.00 degrees
Fractional positions:
Pa 0.203 0.250 0.420
Pa 0.214 0.250 0.932
Pa 0.786 0.750 0.068
Pa 0.797 0.750 0.580
Co 0.402 0.750 0.229
Co 0.598 0.250 0.771
C 0.346 0.750 0.709
C 0.654 0.250 0.291

Properties
- calculated volume (Å³ per atom) = 16.160
- crystal system = monoclinic
- formation enthalpy at 0 K (kJ per mole of atoms) = -17.7
- SG = P2_1/m, No. 11
- polymorph energy (0 for the lowest one) (meV per atom) = 0

***

A plane-wave DFT calculation with PBE was carried out for a geometry-optimized TbTm2Sb structure.

Cell lengths 5.340, 5.340, 5.340 Å; angles 60.00, 60.00, 60.00 degrees
Fractional positions:
Tb 0.000 0.000 0.000
Tm 0.250 0.250 0.250
Tm 0.750 0.750 0.750
Sb 0.500 0.500 0.500

Properties
- calculated volume (Å³ per atom) = 26.919
- crystal system = cubic
- SG = Fm-3m, No. 225
- polymorph energy (0 for the lowest one) (meV per atom) = 326

***

A plane-wave DFT calculation with PBE was carried out for a geometry-optimized Sn2SbCl structure.

Cell lengths 6.854, 6.854, 6.854 Å; angles 108.10, 108.10, 112.24 degrees
Fractional positions:
Sn 0.122 0.625 0.997
Sn 0.375 0.372 0.497
Sn 0.628 0.125 0.003
Sn 0.875 0.878 0.503
Sb 0.000 0.000 0.000
Sb 0.750 0.250 0.500
Cl 0.250 0.750 0.500
Cl 0.500 0.500 0.000

Properties
- calculated volume (Å³ per atom) = 30.934
- crystal system = tetragonal
- SG = I-42d, No. 122
- polymorph energy (0 for the lowest one) (meV per atom) = 230